# 1
Compound: Sm4DyYS8
Source: Alexandria
Functional: PBE
Structure: optimized geometry

```
Sm4DyYS8
1.0
-6.7100 4.6913 0.0379
-3.8456 1.7008 -7.0251
-7.3082 -3.2958 -1.5684
Dy Sm S Y
1 4 8 1
Cartesian
-7.3008 -3.2852 -1.5698
-7.0022 0.6884 -0.7713
-3.6654 -1.6446 -0.7901
-7.5186 3.5720 -4.5615
-5.5778 -0.7988 -4.2837
-11.5690 1.5428 -2.8355
-7.8157 3.1258 -1.9378
-9.8865 4.0417 -5.7206
-13.3154 2.4405 -6.4333
-10.0543 -0.0386 -6.5705
-6.2733 1.5155 -5.7411
-8.0207 -0.9380 -2.8556
-4.5217 0.6943 -2.1277
-10.3465 -0.4773 -3.9938
```

Output
**Crystal system**: trigonal
**Space group**: R3m
**Formation energy (no corrections)**: -1.924 eV/atom


# 2
Compound: Ta2Ga3Ni
Source: Alexandria
Functional: PBE
Structure: optimized geometry

```
Ta2Ga3Ni
1.0
-3.4261 -0.4244 3.7609
4.8373 -1.4338 0.7799
1.7629 7.2669 2.4260
Ga Ni Ta
6 2 4
Cartesian
0.9822 5.0650 3.2202
-0.7098 4.8554 5.0775
1.6790 4.1473 5.4626
2.1918 0.3436 3.7466
1.4950 1.2613 1.5042
3.8837 0.5532 1.8893
0.8814 3.6334 1.2130
0.0000 0.0000 0.0000
3.0844 3.0313 3.1519
3.7255 5.6743 4.0342
0.0896 2.3773 3.8149
-0.5515 -0.2657 2.9326
```

Output
**Crystal system**: hexagonal
**Space group**: P6_3/mmc
**Energy relative to the elements**: -0.33 eV per atom